Computed, not measured: a relaxed Ce5Bi2Ru crystal at the GGA-PBE level of DFT.

```
data_Ce5Bi2Ru
_chemical_formula_sum 'Ce10 Bi4 Ru2'
_cell_length_a 4.6442
_cell_length_b 7.9723
_cell_length_c 12.5748
_cell_angle_alpha 90.00
_cell_angle_beta 90.00
_cell_angle_gamma 90.00
_symmetry_space_group_name_H-M 'P 1'
_symmetry_Int_Tables_number 1
loop_
_symmetry_equiv_pos_as_xyz
'x,y,z'
loop_
_atom_site_label
_atom_site_type_symbol
_atom_site_fract_x
_atom_site_fract_y
_atom_site_fract_z
_atom_site_occupancy
Ce1 Ce 0.0000 0.0000 0.5000 1
Ce2 Ce 0.0000 0.5000 0.0000 1
Ce3 Ce 0.0000 0.8816 0.1920 1
Ce4 Ce 0.0000 0.1184 0.8080 1
Ce5 Ce 0.0000 0.6184 0.6920 1
Ce6 Ce 0.0000 0.3816 0.3080 1
Ce7 Ce 0.5000 0.7104 0.4449 1
Ce8 Ce 0.5000 0.2896 0.5551 1
Ce9 Ce 0.5000 0.7896 0.9449 1
Ce10 Ce 0.5000 0.2104 0.0551 1
Bi1 Bi 0.5000 0.5909 0.1805 1
Bi2 Bi 0.5000 0.4091 0.8195 1
Bi3 Bi 0.5000 0.9091 0.6805 1
Bi4 Bi 0.5000 0.0909 0.3195 1
Ru1 Ru 0.0000 0.5000 0.5000 1
Ru2 Ru 0.0000 0.0000 0.0000 1
```

Results
- energy relative to the elements (meV/atom) = -523
- energy (eV/atom) = -6.361
- Fermi-level density of states (states/eV/atom) = 3.28